First-principles (GGA-PBE) data for Ce2YPN5 after structural relaxation, as listed in Alexandria.

Structure (POSCAR):
```
Ce2YPN5
1.0
6.507 0.000 0.000
0.000 6.507 0.000
0.000 0.000 5.610
Ce Y P N
4 2 2 10
direct
0.178 0.322 0.000 Ce
0.322 0.822 0.000 Ce
0.678 0.178 0.000 Ce
0.822 0.678 0.000 Ce
0.000 0.000 0.500 Y
0.500 0.500 0.500 Y
0.000 0.500 0.500 P
0.500 0.000 0.500 P
0.000 0.000 0.000 N
0.135 0.635 0.284 N
0.135 0.635 0.716 N
0.365 0.135 0.284 N
0.365 0.135 0.716 N
0.500 0.500 0.000 N
0.635 0.865 0.284 N
0.635 0.865 0.716 N
0.865 0.365 0.284 N
0.865 0.365 0.716 N
```

As for the spin magnetization: 0.0 Bohr magnetons per cell. The value obtained for the formation energy from raw total energies is -0.958 eV/atom. Its symmetry is P4/mbm (127).

=====

First-principles (GGA-PBE) data for GaPt2F after structural relaxation, as listed in Alexandria.

Structure (POSCAR):
```
GaPt2F
1.0
6.061 0.000 0.000
0.000 6.061 0.000
0.000 0.000 6.061
Ga Pt F
4 8 4
direct
0.000 0.000 0.000 Ga
0.000 0.500 0.500 Ga
0.500 0.000 0.500 Ga
0.500 0.500 0.000 Ga
0.250 0.250 0.250 Pt
0.250 0.250 0.750 Pt
0.250 0.750 0.250 Pt
0.250 0.750 0.750 Pt
0.750 0.250 0.250 Pt
0.750 0.250 0.750 Pt
0.750 0.750 0.250 Pt
0.750 0.750 0.750 Pt
0.000 0.000 0.500 F
0.000 0.500 0.000 F
0.500 0.000 0.000 F
0.500 0.500 0.500 F
```

As for the spin magnetization: 0.0 Bohr magnetons per cell. The value obtained for the energy above the most stable polymorph in this dataset is 0.0 kJ per mole of atoms. The value obtained for the formation energy from raw total energies is -0.475 eV/atom. Its symmetry is Fm-3m (225).

=====

First-principles (GGA-PBE) data for BeAlS2Cl after structural relaxation, as listed in Alexandria.

Structure (POSCAR):
```
BeAlS2Cl
1.0
4.657 0.000 0.000
0.000 4.657 0.000
0.000 0.000 4.521
Be Al S Cl
1 1 2 1
direct
0.000 0.000 0.000 Be
0.500 0.500 0.500 Al
0.000 0.500 0.500 S
0.500 0.000 0.500 S
0.500 0.500 0.000 Cl
```

As for the spin magnetization: 0.0 Bohr magnetons per cell. The value obtained for the energy above the most stable polymorph in this dataset is 15.0 kJ per mole of atoms. The value obtained for the formation energy from raw total energies is 0.141 eV/atom. Its symmetry is P4/mmm (123).

=====

First-principles (GGA-PBE) data for La6Mg5Cd after structural relaxation, as listed in Alexandria.

Structure (POSCAR):
```
La6Mg5Cd
1.0
5.595 0.000 0.000
0.000 7.913 0.000
-2.783 0.000 8.397
La Mg Cd
6 5 1
direct
0.000 0.249 0.000 La
0.000 0.751 0.000 La
0.334 0.251 0.668 La
0.334 0.749 0.668 La
0.666 0.251 0.332 La
0.666 0.749 0.332 La
0.167 0.500 0.334 Mg
0.170 0.000 0.340 Mg
0.500 0.500 0.000 Mg
0.830 0.000 0.660 Mg
0.833 0.500 0.666 Mg
0.500 0.000 0.000 Cd
```

As for the spin magnetization: 0.0 Bohr magnetons per cell. Its symmetry is P2/m (10). As for the total energy: -3.36 eV per atom.

=====

First-principles (GGA-PBE) data for TiRh4W after structural relaxation, as listed in Alexandria.

Structure (POSCAR):
```
TiRh4W
1.0
8.871 0.000 0.000
0.000 3.779 0.000
-1.715 0.000 5.275
Ti Rh W
2 8 2
direct
0.000 0.000 0.000 Ti
0.500 0.500 0.000 Ti
0.161 0.500 0.829 Rh
0.165 0.500 0.338 Rh
0.335 0.000 0.662 Rh
0.339 0.000 0.171 Rh
0.661 0.000 0.829 Rh
0.665 0.000 0.338 Rh
0.835 0.500 0.662 Rh
0.839 0.500 0.171 Rh
0.000 0.000 0.500 W
0.500 0.500 0.500 W
```

As for the spin magnetization: 0.0 Bohr magnetons per cell. Its symmetry is C2/m (12). As for the total energy: -8.71 eV per atom.